The following is a PBE calculation of an optimized crystal structure of Sm3HoRu2, from Alexandria.

Structure (POSCAR):
```
Sm3HoRu2
1.0
6.414 0.000 0.000
0.000 6.883 -0.019
0.000 -0.015 6.883
Sm Ru Ho
6 4 2
Direct
0.750 0.069 0.931
0.250 0.067 0.568
0.250 0.432 0.933
0.250 0.931 0.069
0.750 0.568 0.067
0.750 0.933 0.432
0.000 0.255 0.255
0.500 0.255 0.255
0.000 0.745 0.745
0.500 0.745 0.745
0.750 0.434 0.566
0.250 0.566 0.434
```

Output
Space-group type ... No. 63
Total moment ... 0.00 μB/f.u.
Mass density ... 8.9 g/cm³
Formation enthalpy at 0 K ... -0.250 eV/atom
Polymorph energy (0 for the lowest one) ... 0.000 eV per atom